Record 1
## ScCu2Pd2 (GGA-PBE)

Data for a relaxed structure of ScCu2Pd2.

Lattice parameters (Å, degrees): 3.8876 3.8876 10.8476 90.00 90.00 90.00
With the nearest neighbours (Å) after each atom.
Space group I4/mmm (No. 139)
Asymmetric unit:
Sc: 0.0000 0.0000 0.0000 x2  8 Cu 2.97
Cu: 0.0000 0.0000 0.3970 x4  1 Cu 2.23
Pd: 0.0000 0.5000 0.2500 x4  4 Cu 2.51, 4 Pd 2.75

- magnetic moment (μB/f.u.) = 0.00
- polymorph energy (0 for the lowest one) (eV per atom) = 0.225
- DOS(E_F) (states/eV per cell) = 4.7
- DFT formation energy (eV/atom) = -0.249
- crystal system = tetragonal



Record 2
## In2PdPt (GGA-PBE)

Data for a relaxed structure of In2PdPt.

Lattice parameters (Å, degrees): 4.6492 4.6492 3.3458 90.00 90.00 90.00
With the nearest neighbours (Å) after each atom.
Space group P4/mmm (No. 123)
Asymmetric unit:
In: 0.0000 0.5000 0.0000 x2  4 Pd 2.86, 4 Pt 2.86
Pd: 0.0000 0.0000 0.5000 x1  8 In 2.86
Pt: 0.5000 0.5000 0.5000 x1  8 In 2.86

- magnetic moment (μB/f.u.) = 0.00
- DOS(E_F) (states/eV per cell) = 1.5
- DFT formation energy (eV/atom) = -0.445
- crystal system = tetragonal



Record 3
## Ho4Tm5In (GGA-PBE)

Data for a relaxed structure of Ho4Tm5In.

Lattice parameters (Å, degrees): 10.4851 10.4851 5.7108 90.00 90.00 90.00
With the nearest neighbours (Å) after each atom.
Space group I4mm (No. 107)
Asymmetric unit:
Ho: 0.0000 0.3162 0.0000 x8  3 Tm 3.30-3.53, 1 In 3.65
Tm: 0.0000 0.0000 0.2141 x2  2 In 2.76-2.95
Tm: 0.1854 0.1854 0.4999 x8  1 In 3.05, 1 Tm 3.20, 2 Ho 3.30
In: 0.0000 0.0000 0.7311 x2  6 Tm 2.76-3.05

- magnetic moment (μB/f.u.) = 0.00
- polymorph energy (0 for the lowest one) (eV per atom) = 0.203
- DOS(E_F) (states/eV per cell) = 27.5
- DFT formation energy (eV/atom) = 0.125
- crystal system = tetragonal



Record 4
## NiHgTe2 (GGA-PBE)

Data for a relaxed structure of NiHgTe2.

Lattice parameters (Å, degrees): 12.3204 3.8077 5.0430 90.00 109.06 90.00
With the nearest neighbours (Å) after each atom.
Space group Cm (No. 8)
Asymmetric unit:
Ni: 0.0000 0.0000 0.0000 x2  4 Te 2.51-2.52, 1 Hg 2.73
Hg: 0.2850 0.5000 0.0458 x2  1 Ni 2.73
Te: 0.0911 0.5000 0.3242 x2  2 Ni 2.52
Te: 0.4328 0.0000 0.6615 x2  2 Ni 2.51

- magnetic moment (μB/f.u.) = 0.00
- DOS(E_F) (states/eV per cell) = 1.6
- uncorrected formation energy (eV/atom) = -0.072
- crystal system = monoclinic